The following is a DFT calculation (GGA-PBEsol) of a geometry-optimized LiTlPb2 structure.

Cell and atoms, written as extended XYZ:
```
4
Lattice="3.4205 0.0000 0.0000 -0.0293 5.7205 0.0000 -1.6386 -1.2883 5.3844" Properties=species:S:1:pos:R:3 pbc="T T T"
Li 0.0000 0.0000 0.0000
Tl 1.7500 0.7587 2.5230
Pb 0.0097 3.6910 2.7823
Pb 0.0622 1.5600 5.3396
```

Properties
ΔH_f (0 K) = -107 meV per atom
D(E_F) = 1.730 states/eV/cell